{
  "formula": "Nd6TeAs3S2",
  "functional": "GGA-PBE",
  "state": "relaxed",
  "crystal_system": "monoclinic",
  "raw_formation_energy_mev_per_atom": -1685,
  "vol_a3_per_cell": 326.5,
  "cell": [[-1.688, -3.679, -1.287], [6.019, -4.260, 4.283], [-5.953, 2.780, 6.871]],
  "species": ["Nd", "Nd", "Nd", "Nd", "Nd", "Nd", "Te", "As", "As", "As", "S", "S"],
  "frac_coords": [[0.326, 0.912, 0.651], [0.667, 0.583, 0.335], [0.674, 0.088, 0.349], [0.002, 0.270, 0.004], [0.998, 0.730, 0.996], [0.333, 0.417, 0.665], [0.500, 0.000, 0.000], [0.500, 0.500, 0.000], [0.836, 0.168, 0.672], [0.164, 0.832, 0.328], [0.831, 0.665, 0.663], [0.169, 0.335, 0.337]]
}